Entry 1:
A plane-wave DFT calculation with PBE-GGA was carried out for crystalline Pd2BrF at its relaxed geometry.

Calculated values
DOS at the Fermi energy = 6.593 states/eV per cell
Spin magnetization = 0.000 μB/atom
Volume = 15.530 Å³/atom
Calculated total energy = -3.60 eV/atom
Energy relative to the elements, uncorrected = -0.1224 eV per atom

Lattice parameters (Å, degrees): 4.4454 4.4454 4.4454 60.00 60.00 60.00
Sites, in units of the cell vectors:
Br: 0.5000 0.5000 0.5000
Pd: 0.7500 0.7500 0.7500
Pd: 0.2500 0.2500 0.2500
F: 0.0000 0.0000 0.0000

Entry 2:
A plane-wave DFT calculation with PBE-GGA was carried out for crystalline Li4MoW at its relaxed geometry.

Calculated values
DOS at the Fermi energy = 4.998 states/eV per cell
Spin magnetization = 0.000 μB/atom
Volume = 13.142 Å³/atom
Calculated total energy = -4.66 eV/atom

Lattice parameters (Å, degrees): 4.8134 4.8134 4.8134 60.00 60.00 60.00
Sites, in units of the cell vectors:
Li: 0.8751 0.3750 0.3750
Li: 0.3750 0.3750 0.8751
Li: 0.3750 0.8751 0.3750
Li: 0.3750 0.3750 0.3750
W: 0.0000 0.0000 0.0000
Mo: 0.7500 0.7500 0.7500